The following is a PBE calculation of a relaxed Nd7BiSe5 crystal, from the Alexandria database.

Values from the calculation:
magnetization = 0.00 μB/f.u.
space-group type = Cmcm
calculated volume = 372.8 Å³/f.u.
energy = -150.05 eV for the cell shown

Cell: 7.2350 7.2350 25.2997 Å, 90.00 90.00 145.73°
Positions (direct):
Nd1 0.0193 0.9807 0.7500
Nd2 0.1377 0.8623 0.0372
Nd3 0.1377 0.8623 0.4628
Nd4 0.3158 0.6842 0.6754
Nd5 0.3158 0.6842 0.8246
Nd6 0.4083 0.5917 0.1136
Nd7 0.4083 0.5917 0.3864
Nd8 0.5917 0.4083 0.6136
Nd9 0.5917 0.4083 0.8864
Nd10 0.6842 0.3158 0.1754
Nd11 0.6842 0.3158 0.3246
Nd12 0.8623 0.1377 0.5372
Nd13 0.8623 0.1377 0.9628
Nd14 0.9807 0.0193 0.2500
Bi1 0.3070 0.6930 0.2500
Bi2 0.6930 0.3070 0.7500
Se1 0.0487 0.9513 0.1417
Se2 0.0487 0.9513 0.3582
Se3 0.2239 0.7761 0.5706
Se4 0.2239 0.7761 0.9294
Se5 0.5000 0.5000 0.0000
Se6 0.5000 0.5000 0.5000
Se7 0.7761 0.2239 0.0706
Se8 0.7761 0.2239 0.4294
Se9 0.9513 0.0487 0.6418
Se10 0.9513 0.0487 0.8582

The following is a PBE calculation of a relaxed Nd6BiSe5 crystal, from the Alexandria database.

Values from the calculation:
magnetization = 0.00 μB/f.u.
space-group type = C2/m
calculated volume = 337.0 Å³/f.u.
energy = -69.99 eV for the cell shown

Cell: 7.4315 7.4315 7.4717 Å, 99.58 99.58 119.98°
Positions (direct):
Nd1 0.0669 0.4120 0.7372
Nd2 0.2391 0.2391 0.2578
Nd3 0.4120 0.0669 0.7372
Nd4 0.5880 0.9331 0.2628
Nd5 0.7609 0.7609 0.7422
Nd6 0.9331 0.5880 0.2628
Bi1 0.5000 0.5000 0.0000
Se1 0.0000 0.0000 0.5000
Se2 0.1678 0.8322 0.0000
Se3 0.3398 0.6602 0.5000
Se4 0.6602 0.3398 0.5000
Se5 0.8322 0.1678 0.0000

The following is a PBE calculation of a relaxed Nd2BiSe4 crystal, from the Alexandria database.

Values from the calculation:
magnetization = 0.00 μB/f.u.
space-group type = C2/m
calculated volume = 223.5 Å³/f.u.
energy = -72.78 eV for the cell shown

Cell: 15.9226 4.1776 7.5269 Å, 90.00 116.79 90.00°
Positions (direct):
Nd1 0.2300 0.0000 0.2180
Nd2 0.2700 0.5000 0.7820
Nd3 0.7300 0.5000 0.2180
Nd4 0.7700 0.0000 0.7820
Bi1 0.0000 0.5000 0.5000
Bi2 0.5000 0.0000 0.5000
Se1 0.1266 0.5000 0.9370
Se2 0.1386 0.0000 0.4886
Se3 0.3614 0.5000 0.5114
Se4 0.3734 0.0000 0.0630
Se5 0.6266 0.0000 0.9370
Se6 0.6386 0.5000 0.4886
Se7 0.8614 0.0000 0.5114
Se8 0.8734 0.5000 0.0630

The following is a PBE calculation of a relaxed Nd4BiSe3 crystal, from the Alexandria database.

Values from the calculation:
magnetization = 0.00 μB/f.u.
space-group type = P6_3/mmc
calculated volume = 230.2 Å³/f.u.
energy = -92.30 eV for the cell shown

Cell: 4.3257 4.3257 28.4113 Å, 90.00 90.00 120.00°
Positions (direct):
Nd1 0.0000 0.0000 0.1773
Nd2 0.0000 0.0000 0.3227
Nd3 0.0000 0.0000 0.6773
Nd4 0.0000 0.0000 0.8227
Nd5 0.3333 0.6667 0.0598
Nd6 0.3333 0.6667 0.4402
Nd7 0.6667 0.3333 0.5598
Nd8 0.6667 0.3333 0.9402
Bi1 0.3333 0.6667 0.2500
Bi2 0.6667 0.3333 0.7500
Se1 0.0000 0.0000 0.0000
Se2 0.0000 0.0000 0.5000
Se3 0.3333 0.6667 0.6188
Se4 0.3333 0.6667 0.8812
Se5 0.6667 0.3333 0.1188
Se6 0.6667 0.3333 0.3812

The following is a PBE calculation of a relaxed Nd5Bi4Se crystal, from the Alexandria database.

Values from the calculation:
magnetization = 0.00 μB/f.u.
space-group type = I4/m
calculated volume = 331.2 Å³/f.u.
energy = -54.03 eV for the cell shown

Cell: 7.8614 7.8614 7.8614 Å, 99.66 99.66 131.64°
Positions (direct):
Nd1 0.0000 0.0000 0.0000
Nd2 0.2096 0.4007 0.6103
Nd3 0.4007 0.7904 0.1911
Nd4 0.5993 0.2096 0.8089
Nd5 0.7904 0.5993 0.3897
Bi1 0.0958 0.6985 0.7943
Bi2 0.3015 0.0958 0.3972
Bi3 0.6985 0.9042 0.6028
Bi4 0.9042 0.3015 0.2057
Se1 0.5000 0.5000 0.0000

The following is a PBE calculation of a relaxed NdBi2Se4 crystal, from the Alexandria database.

Values from the calculation:
magnetization = 0.00 μB/f.u.
space-group type = Cmcm
calculated volume = 206.5 Å³/f.u.
energy = -63.94 eV for the cell shown

Cell: 7.1172 7.1172 13.7954 Å, 90.00 90.00 143.78°
Positions (direct):
Nd1 0.1244 0.8756 0.7500
Nd2 0.8756 0.1244 0.2500
Bi1 0.3735 0.6265 0.5631
Bi2 0.3735 0.6265 0.9369
Bi3 0.6265 0.3735 0.0631
Bi4 0.6265 0.3735 0.4369
Se1 0.0000 0.0000 0.0000
Se2 0.0000 0.0000 0.5000
Se3 0.2741 0.7259 0.1235
Se4 0.2741 0.7259 0.3765
Se5 0.4787 0.5213 0.7500
Se6 0.5213 0.4787 0.2500
Se7 0.7259 0.2741 0.6235
Se8 0.7259 0.2741 0.8765

The following is a PBE calculation of a relaxed NdBiSe3 crystal, from the Alexandria database.

Values from the calculation:
magnetization = 0.00 μB/f.u.
space-group type = C2/m
calculated volume = 147.3 Å³/f.u.
energy = -48.55 eV for the cell shown

Cell: 8.3867 8.3867 9.3522 Å, 118.72 118.72 31.10°
Positions (direct):
Nd1 0.1188 0.1188 0.2756
Nd2 0.8812 0.8812 0.7244
Bi1 0.3550 0.3550 0.2319
Bi2 0.6450 0.6450 0.7681
Se1 0.1176 0.1176 0.9513
Se2 0.2377 0.2377 0.6590
Se3 0.4466 0.4466 0.6121
Se4 0.5534 0.5534 0.3879
Se5 0.7623 0.7623 0.3410
Se6 0.8824 0.8824 0.0487

The following is a PBE calculation of a relaxed Nd4SiBiSe2 crystal, from the Alexandria database.

Values from the calculation:
magnetization = 0.00 μB/f.u.
space-group type = P2/m
calculated volume = 233.9 Å³/f.u.
energy = -46.06 eV for the cell shown

Cell: 7.4973 4.3498 7.6051 Å, 90.00 109.44 90.00°
Positions (direct):
Nd1 0.2447 0.0000 0.2353
Nd2 0.2529 0.5000 0.7672
Nd3 0.7471 0.5000 0.2328
Nd4 0.7553 0.0000 0.7647
Si1 0.0000 0.5000 0.0000
Bi1 0.0000 0.0000 0.5000
Se1 0.5000 0.0000 0.0000
Se2 0.5000 0.5000 0.5000

The following is a PBE calculation of a relaxed Nd6Si2BiSe3 crystal, from the Alexandria database.

Values from the calculation:
magnetization = 0.00 μB/f.u.
space-group type = C2/m
calculated volume = 344.7 Å³/f.u.
energy = -69.75 eV for the cell shown

Cell: 9.6590 9.6590 8.6935 Å, 102.48 102.48 25.84°
Positions (direct):
Nd1 0.0061 0.0061 0.2646
Nd2 0.3277 0.3277 0.8996
Nd3 0.3298 0.3298 0.4221
Nd4 0.6702 0.6702 0.5779
Nd5 0.6723 0.6723 0.1004
Nd6 0.9939 0.9939 0.7354
Si1 0.1676 0.1676 0.3358
Si2 0.8324 0.8324 0.6642
Bi1 0.5000 0.5000 0.0000
Se1 0.1643 0.1643 0.8340
Se2 0.5000 0.5000 0.5000
Se3 0.8357 0.8357 0.1660

The following is a PBE calculation of a relaxed Nd4SnBiSe2 crystal, from the Alexandria database.

Values from the calculation:
magnetization = 0.00 μB/f.u.
space-group type = P2/m
calculated volume = 243.3 Å³/f.u.
energy = -44.63 eV for the cell shown

Cell: 7.6130 4.4236 7.6660 Å, 90.00 109.54 90.00°
Positions (direct):
Nd1 0.2383 0.0000 0.2410
Nd2 0.2408 0.5000 0.7512
Nd3 0.7592 0.5000 0.2488
Nd4 0.7617 0.0000 0.7590
Sn1 0.5000 0.0000 0.0000
Bi1 0.5000 0.5000 0.5000
Se1 0.0000 0.0000 0.5000
Se2 0.0000 0.5000 0.0000

The following is a PBE calculation of a relaxed TbNdBiSe crystal, from the Alexandria database.

Values from the calculation:
magnetization = 0.53 μB/f.u.
space-group type = R3m
calculated volume = 119.9 Å³/f.u.
energy = -65.16 eV for the cell shown

Cell: 4.2520 4.2520 22.9655 Å, 90.00 90.00 120.00°
Positions (direct):
Tb1 0.0000 0.0000 0.0000
Tb2 0.3333 0.6667 0.6667
Tb3 0.6667 0.3333 0.3333
Nd1 0.0000 0.0000 0.8368
Nd2 0.3333 0.6667 0.5035
Nd3 0.6667 0.3333 0.1702
Bi1 0.0000 0.0000 0.4148
Bi2 0.3333 0.6667 0.0815
Bi3 0.6667 0.3333 0.7481
Se1 0.0000 0.0000 0.5897
Se2 0.3333 0.6667 0.2564
Se3 0.6667 0.3333 0.9231

The following is a PBE calculation of a relaxed Nd4BiTe2Se crystal, from the Alexandria database.

Values from the calculation:
magnetization = 0.00 μB/f.u.
space-group type = P2/m
calculated volume = 252.5 Å³/f.u.
energy = -43.97 eV for the cell shown

Cell: 7.7459 4.4386 7.7734 Å, 90.00 109.12 90.00°
Positions (direct):
Nd1 0.2277 0.0000 0.2286
Nd2 0.2372 0.5000 0.7614
Nd3 0.7628 0.5000 0.2386
Nd4 0.7723 0.0000 0.7714
Bi1 0.5000 0.0000 0.0000
Te1 0.0000 0.0000 0.5000
Te2 0.5000 0.5000 0.5000
Se1 0.0000 0.5000 0.0000

The following is a PBE calculation of a relaxed Nd6BiTe3Se2 crystal, from the Alexandria database.

Values from the calculation:
magnetization = 0.00 μB/f.u.
space-group type = C2/m
calculated volume = 369.9 Å³/f.u.
energy = -66.69 eV for the cell shown

Cell: 7.6249 7.6249 7.7768 Å, 99.43 99.43 120.01°
Positions (direct):
Nd1 0.0716 0.4219 0.7699
Nd2 0.2218 0.2218 0.2240
Nd3 0.4219 0.0716 0.7699
Nd4 0.5781 0.9284 0.2301
Nd5 0.7782 0.7782 0.7760
Nd6 0.9284 0.5781 0.2301
Bi1 0.5000 0.5000 0.0000
Te1 0.0000 0.0000 0.5000
Te2 0.3405 0.6595 0.5000
Te3 0.6595 0.3405 0.5000
Se1 0.1686 0.8314 0.0000
Se2 0.8314 0.1686 0.0000

The following is a PBE calculation of a relaxed Nd6BiTe2Se3 crystal, from the Alexandria database.

Values from the calculation:
magnetization = 0.00 μB/f.u.
space-group type = C2/m
calculated volume = 358.2 Å³/f.u.
energy = -67.91 eV for the cell shown

Cell: 9.8366 9.8366 8.8376 Å, 103.74 103.74 25.59°
Positions (direct):
Nd1 0.0060 0.0060 0.2362
Nd2 0.3280 0.3280 0.4358
Nd3 0.3405 0.3405 0.9004
Nd4 0.6595 0.6595 0.0996
Nd5 0.6720 0.6720 0.5642
Nd6 0.9940 0.9940 0.7638
Bi1 0.5000 0.5000 0.5000
Te1 0.1677 0.1677 0.8339
Te2 0.8323 0.8323 0.1661
Se1 0.1667 0.1667 0.3318
Se2 0.5000 0.5000 0.0000
Se3 0.8333 0.8333 0.6682

The following is a PBE calculation of a relaxed Nd4BiTeSe2 crystal, from the Alexandria database.

Values from the calculation:
magnetization = 0.00 μB/f.u.
space-group type = P2/m
calculated volume = 240.2 Å³/f.u.
energy = -45.16 eV for the cell shown

Cell: 7.5631 4.3707 7.6895 Å, 90.00 109.12 90.00°
Positions (direct):
Nd1 0.2383 0.0000 0.2221
Nd2 0.2570 0.5000 0.7756
Nd3 0.7430 0.5000 0.2244
Nd4 0.7617 0.0000 0.7779
Bi1 0.0000 0.0000 0.5000
Te1 0.5000 0.5000 0.5000
Se1 0.0000 0.5000 0.0000
Se2 0.5000 0.0000 0.0000

The following is a PBE calculation of a relaxed Nd6Bi2TeSe3 crystal, from the Alexandria database.

Values from the calculation:
magnetization = 0.00 μB/f.u.
space-group type = C2/m
calculated volume = 362.5 Å³/f.u.
energy = -67.57 eV for the cell shown

Cell: 9.8764 9.8764 8.8418 Å, 103.60 103.60 25.66°
Positions (direct):
Nd1 0.0052 0.0052 0.2331
Nd2 0.3273 0.3273 0.4275
Nd3 0.3383 0.3383 0.9046
Nd4 0.6617 0.6617 0.0954
Nd5 0.6727 0.6727 0.5725
Nd6 0.9948 0.9948 0.7669
Bi1 0.1660 0.1660 0.8323
Bi2 0.8340 0.8340 0.1677
Te1 0.5000 0.5000 0.5000
Se1 0.1665 0.1665 0.3344
Se2 0.5000 0.5000 0.0000
Se3 0.8335 0.8335 0.6656

The following is a PBE calculation of a relaxed NdTl3Bi2Se6 crystal, from the Alexandria database.

Values from the calculation:
magnetization = 0.00 μB/f.u.
space-group type = C2/m
calculated volume = 372.4 Å³/f.u.
energy = -49.64 eV for the cell shown

Cell: 7.4817 7.4817 8.0769 Å, 98.89 98.89 119.99°
Positions (direct):
Nd1 0.0000 0.0000 0.0000
Tl1 0.1658 0.8342 0.5000
Tl2 0.5000 0.5000 0.5000
Tl3 0.8342 0.1658 0.5000
Bi1 0.3336 0.6664 0.0000
Bi2 0.6664 0.3336 0.0000
Se1 0.0717 0.4060 0.2144
Se2 0.2637 0.2637 0.7876
Se3 0.4060 0.0717 0.2144
Se4 0.5940 0.9283 0.7856
Se5 0.7363 0.7363 0.2124
Se6 0.9283 0.5940 0.7856

The following is a PBE calculation of a relaxed Nd4TlBiSe2 crystal, from the Alexandria database.

Values from the calculation:
magnetization = 0.00 μB/f.u.
space-group type = P2/m
calculated volume = 242.2 Å³/f.u.
energy = -42.00 eV for the cell shown

Cell: 7.6281 4.3362 7.7256 Å, 90.00 108.62 90.00°
Positions (direct):
Nd1 0.2420 0.0000 0.2341
Nd2 0.2563 0.5000 0.7678
Nd3 0.7437 0.5000 0.2322
Nd4 0.7580 0.0000 0.7659
Tl1 0.0000 0.0000 0.5000
Bi1 0.5000 0.5000 0.5000
Se1 0.0000 0.5000 0.0000
Se2 0.5000 0.0000 0.0000

The following is a PBE calculation of a relaxed Nd3Tl4BiSe8 crystal, from the Alexandria database.

Values from the calculation:
magnetization = 0.00 μB/f.u.
space-group type = R-3m
calculated volume = 501.1 Å³/f.u.
energy = -73.82 eV for the cell shown

Cell: 9.2057 9.2057 9.2057 Å, 56.04 56.04 56.04°
Positions (direct):
Nd1 0.0000 0.5000 0.5000
Nd2 0.5000 0.0000 0.5000
Nd3 0.5000 0.5000 0.0000
Tl1 0.0000 0.0000 0.5000
Tl2 0.0000 0.5000 0.0000
Tl3 0.5000 0.0000 0.0000
Tl4 0.5000 0.5000 0.5000
Bi1 0.0000 0.0000 0.0000
Se1 0.2374 0.2374 0.7372
Se2 0.2374 0.7372 0.2374
Se3 0.2630 0.2630 0.2630
Se4 0.2628 0.7626 0.7626
Se5 0.7372 0.2374 0.2374
Se6 0.7370 0.7370 0.7370
Se7 0.7626 0.2628 0.7626
Se8 0.7626 0.7626 0.2628

The following is a PBE calculation of a relaxed Nd6SiBi2 crystal, from the Alexandria database.

Values from the calculation:
magnetization = 3.45 μB/f.u.
space-group type = P-62m
calculated volume = 282.3 Å³/f.u.
energy = -47.26 eV for the cell shown

Cell: 8.6166 8.6166 4.3906 Å, 90.00 90.00 120.00°
Positions (direct):
Nd1 0.0000 0.2414 0.0000
Nd2 0.0000 0.5970 0.5000
Nd3 0.2414 0.0000 0.0000
Nd4 0.4030 0.4030 0.5000
Nd5 0.5970 0.0000 0.5000
Nd6 0.7586 0.7586 0.0000
Si1 0.0000 0.0000 0.5000
Bi1 0.3333 0.6667 0.0000
Bi2 0.6667 0.3333 0.0000

The following is a PBE calculation of a relaxed Nd4SiBi crystal, from the Alexandria database.

Values from the calculation:
magnetization = 0.00 μB/f.u.
space-group type = C2/c
calculated volume = 192.6 Å³/f.u.
energy = -61.58 eV for the cell shown

Cell: 8.7708 8.7708 7.8557 Å, 104.57 104.57 41.44°
Positions (direct):
Nd1 0.0243 0.8137 0.5481
Nd2 0.1863 0.9757 0.9519
Nd3 0.2224 0.4373 0.8596
Nd4 0.4373 0.2224 0.3596
Nd5 0.5627 0.7776 0.6404
Nd6 0.7776 0.5627 0.1404
Nd7 0.8137 0.0243 0.0481
Nd8 0.9757 0.1863 0.4519
Si1 0.0000 0.5000 0.5000
Si2 0.5000 0.0000 0.0000
Bi1 0.3782 0.6218 0.2500
Bi2 0.6218 0.3782 0.7500